# Ba2LiMgIn6 PBE-GGA optimized geometry
data_Ba2LiMgIn6
_cell_length_a 10.082
_cell_length_b 6.200
_cell_length_c 7.783
_cell_angle_alpha 66.52
_cell_angle_beta 49.95
_cell_angle_gamma 89.99
_symmetry_space_group_name_H-M 'P 1'
_symmetry_Int_Tables_number 1
loop_
_symmetry_equiv_pos_as_xyz
'x,y,z'
loop_
_atom_site_label
_atom_site_type_symbol
_atom_site_fract_x
_atom_site_fract_y
_atom_site_fract_z
Ba1 Ba 0.283 0.747 0.506
Ba2 Ba 0.717 0.253 0.494
Li1 Li 0.500 0.500 0.000
Mg1 Mg 0.000 0.000 0.000
In1 In 0.257 0.749 0.002
In2 In 0.743 0.751 0.998
In3 In 0.094 0.252 0.497
In4 In 0.743 0.251 0.998
In5 In 0.257 0.249 0.002
In6 In 0.906 0.748 0.503
# Fermi-level density of states: 5.13 states/eV per cell
# total magnetization: 0.000 μB/cell
# DFT formation energy: -265.9 meV/atom

# RbPt2O2 PBE-GGA optimized geometry
data_RbPt2O2
_cell_length_a 6.162
_cell_length_b 6.162
_cell_length_c 6.677
_cell_angle_alpha 117.48
_cell_angle_beta 117.48
_cell_angle_gamma 90.00
_symmetry_space_group_name_H-M 'P 1'
_symmetry_Int_Tables_number 1
loop_
_symmetry_equiv_pos_as_xyz
'x,y,z'
loop_
_atom_site_label
_atom_site_type_symbol
_atom_site_fract_x
_atom_site_fract_y
_atom_site_fract_z
Rb1 Rb 0.000 0.000 0.000
Rb2 Rb 0.250 0.750 0.500
Pt1 Pt 0.125 0.375 0.750
Pt2 Pt 0.625 0.375 0.250
Pt3 Pt 0.625 0.875 0.250
Pt4 Pt 0.625 0.375 0.750
O1 O 0.740 0.740 0.480
O2 O 0.510 0.010 0.020
O3 O 0.260 0.260 0.520
O4 O 0.990 0.490 0.980
# Fermi-level density of states: 4.33 states/eV per cell
# total magnetization: 0.000 μB/cell
# total DFT energy (no corrections): -5.0835 eV per atom

# MgTl2PtO6 PBE-GGA optimized geometry
data_MgTl2PtO6
_cell_length_a 5.490
_cell_length_b 5.582
_cell_length_c 8.021
_cell_angle_alpha 90.00
_cell_angle_beta 89.08
_cell_angle_gamma 90.00
_symmetry_space_group_name_H-M 'P 1'
_symmetry_Int_Tables_number 1
loop_
_symmetry_equiv_pos_as_xyz
'x,y,z'
loop_
_atom_site_label
_atom_site_type_symbol
_atom_site_fract_x
_atom_site_fract_y
_atom_site_fract_z
Mg1 Mg 0.500 0.000 0.000
Mg2 Mg 0.000 0.500 0.500
Tl1 Tl 0.020 0.953 0.255
Tl2 Tl 0.520 0.547 0.755
Tl3 Tl 0.980 0.047 0.745
Tl4 Tl 0.480 0.453 0.245
Pt1 Pt 0.500 0.000 0.500
Pt2 Pt 0.000 0.500 0.000
O1 O 0.292 0.700 0.060
O2 O 0.792 0.800 0.560
O3 O 0.708 0.300 0.940
O4 O 0.208 0.200 0.440
O5 O 0.303 0.711 0.432
O6 O 0.803 0.789 0.932
O7 O 0.697 0.289 0.568
O8 O 0.197 0.211 0.068
O9 O 0.884 0.559 0.240
O10 O 0.384 0.941 0.740
O11 O 0.116 0.441 0.760
O12 O 0.616 0.059 0.260
# Fermi-level density of states: 1.25 states/eV per cell
# total magnetization: 0.000 μB/cell
# total DFT energy (no corrections): -5.2515 eV per atom

# SrMnBi2 PBE-GGA optimized geometry
data_SrMnBi2
_cell_length_a 4.409
_cell_length_b 4.409
_cell_length_c 7.709
_cell_angle_alpha 73.38
_cell_angle_beta 73.38
_cell_angle_gamma 60.00
_symmetry_space_group_name_H-M 'P 1'
_symmetry_Int_Tables_number 1
loop_
_symmetry_equiv_pos_as_xyz
'x,y,z'
loop_
_atom_site_label
_atom_site_type_symbol
_atom_site_fract_x
_atom_site_fract_y
_atom_site_fract_z
Sr1 Sr 0.500 0.500 0.500
Mn1 Mn 0.000 0.000 0.000
Bi1 Bi 0.272 0.272 0.184
Bi2 Bi 0.728 0.728 0.816
# Fermi-level density of states: 1.75 states/eV per cell
# polymorph energy (0 for the lowest one): 0.067 eV/atom
# total magnetization: 3.111 μB/cell
# DFT formation energy: -195.9 meV/atom

# Na2LiCu2H6 PBE-GGA optimized geometry
data_Na2LiCu2H6
_cell_length_a 5.059
_cell_length_b 5.231
_cell_length_c 5.512
_cell_angle_alpha 109.75
_cell_angle_beta 90.00
_cell_angle_gamma 118.92
_symmetry_space_group_name_H-M 'P 1'
_symmetry_Int_Tables_number 1
loop_
_symmetry_equiv_pos_as_xyz
'x,y,z'
loop_
_atom_site_label
_atom_site_type_symbol
_atom_site_fract_x
_atom_site_fract_y
_atom_site_fract_z
Na1 Na 0.720 0.439 0.183
Na2 Na 0.280 0.561 0.817
Li1 Li 0.500 0.000 0.500
Cu1 Cu 0.932 0.865 0.757
Cu2 Cu 0.068 0.135 0.243
H1 H 0.744 0.488 0.646
H2 H 0.202 0.907 0.199
H3 H 0.295 0.093 0.801
H4 H 0.798 0.093 0.801
H5 H 0.705 0.907 0.199
H6 H 0.256 0.512 0.354
# Fermi-level density of states: 2.89 states/eV per cell
# total magnetization: 0.000 μB/cell
# total DFT energy (no corrections): -2.9843 eV per atom

# TcSnS2N PBE-GGA optimized geometry
data_TcSnS2N
_cell_length_a 5.080
_cell_length_b 5.080
_cell_length_c 3.998
_cell_angle_alpha 90.00
_cell_angle_beta 90.00
_cell_angle_gamma 90.00
_symmetry_space_group_name_H-M 'P 1'
_symmetry_Int_Tables_number 1
loop_
_symmetry_equiv_pos_as_xyz
'x,y,z'
loop_
_atom_site_label
_atom_site_type_symbol
_atom_site_fract_x
_atom_site_fract_y
_atom_site_fract_z
S1 S 0.000 0.500 0.000
S2 S 0.500 0.000 0.000
N1 N 0.000 0.000 0.500
Sn1 Sn 0.000 0.000 0.000
Tc1 Tc 0.500 0.500 0.500
# Fermi-level density of states: 2.70 states/eV per cell
# polymorph energy (0 for the lowest one): 1.180 eV/atom
# total magnetization: 3.906 μB/cell

# Ac2HoAlPd6 PBE-GGA optimized geometry
data_Ac2HoAlPd6
_cell_length_a 6.575
_cell_length_b 6.575
_cell_length_c 12.903
_cell_angle_alpha 75.24
_cell_angle_beta 75.24
_cell_angle_gamma 60.00
_symmetry_space_group_name_H-M 'P 1'
_symmetry_Int_Tables_number 1
loop_
_symmetry_equiv_pos_as_xyz
'x,y,z'
loop_
_atom_site_label
_atom_site_type_symbol
_atom_site_fract_x
_atom_site_fract_y
_atom_site_fract_z
Ac1 Ac 0.881 0.881 0.358
Ac2 Ac 0.119 0.119 0.642
Ac3 Ac 0.716 0.716 0.851
Ac4 Ac 0.284 0.284 0.149
Ho1 Ho 0.579 0.579 0.264
Ho2 Ho 0.421 0.421 0.736
Al1 Al 0.000 0.000 0.000
Al2 Al 0.500 0.500 0.500
Pd1 Pd 0.920 0.337 0.406
Pd2 Pd 0.337 0.920 0.406
Pd3 Pd 0.337 0.337 0.406
Pd4 Pd 0.080 0.663 0.594
Pd5 Pd 0.663 0.080 0.594
Pd6 Pd 0.663 0.663 0.594
Pd7 Pd 0.646 0.219 0.916
Pd8 Pd 0.219 0.646 0.916
Pd9 Pd 0.219 0.219 0.916
Pd10 Pd 0.354 0.781 0.084
Pd11 Pd 0.781 0.354 0.084
Pd12 Pd 0.781 0.781 0.084
# Fermi-level density of states: 10.15 states/eV per cell
# total magnetization: 0.000 μB/cell
# DFT formation energy: -718.3 meV/atom

# NaGaGeO4 PBE-GGA optimized geometry
data_NaGaGeO4
_cell_length_a 8.433
_cell_length_b 9.011
_cell_length_c 15.850
_cell_angle_alpha 89.83
_cell_angle_beta 90.00
_cell_angle_gamma 90.00
_symmetry_space_group_name_H-M 'P 1'
_symmetry_Int_Tables_number 1
loop_
_symmetry_equiv_pos_as_xyz
'x,y,z'
loop_
_atom_site_label
_atom_site_type_symbol
_atom_site_fract_x
_atom_site_fract_y
_atom_site_fract_z
Na1 Na 0.973 0.723 0.065
Na2 Na 0.027 0.277 0.935
Na3 Na 0.473 0.777 0.435
Na4 Na 0.527 0.223 0.565
Na5 Na 0.054 0.258 0.247
Na6 Na 0.946 0.742 0.753
Na7 Na 0.554 0.242 0.253
Na8 Na 0.446 0.758 0.747
Na9 Na 0.534 0.766 0.091
Na10 Na 0.466 0.234 0.909
Na11 Na 0.034 0.734 0.409
Na12 Na 0.966 0.266 0.591
Ga1 Ga 0.718 0.390 0.078
Ga2 Ga 0.282 0.610 0.922
Ga3 Ga 0.218 0.110 0.422
Ga4 Ga 0.782 0.890 0.578
Ga5 Ga 0.723 0.439 0.409
Ga6 Ga 0.277 0.561 0.591
Ga7 Ga 0.223 0.061 0.091
Ga8 Ga 0.777 0.939 0.909
Ga9 Ga 0.219 0.583 0.233
Ga10 Ga 0.781 0.417 0.767
Ga11 Ga 0.719 0.917 0.267
Ga12 Ga 0.281 0.083 0.733
Ge1 Ge 0.830 0.577 0.236
Ge2 Ge 0.170 0.423 0.764
Ge3 Ge 0.330 0.923 0.264
Ge4 Ge 0.670 0.077 0.736
Ge5 Ge 0.830 0.101 0.423
Ge6 Ge 0.170 0.899 0.577
Ge7 Ge 0.330 0.399 0.077
Ge8 Ge 0.670 0.601 0.923
Ge9 Ge 0.334 0.441 0.408
Ge10 Ge 0.666 0.559 0.592
Ge11 Ge 0.834 0.059 0.092
Ge12 Ge 0.166 0.941 0.908
O1 O 0.721 0.426 0.194
O2 O 0.279 0.574 0.806
O3 O 0.221 0.074 0.306
O4 O 0.779 0.926 0.694
O5 O 0.855 0.238 0.048
O6 O 0.145 0.762 0.952
O7 O 0.355 0.262 0.452
O8 O 0.645 0.738 0.548
O9 O 0.017 0.175 0.452
O10 O 0.983 0.825 0.548
O11 O 0.517 0.325 0.048
O12 O 0.483 0.675 0.952
O13 O 0.017 0.569 0.185
O14 O 0.983 0.431 0.815
O15 O 0.517 0.931 0.315
O16 O 0.483 0.069 0.685
O17 O 0.739 0.746 0.204
O18 O 0.261 0.254 0.796
O19 O 0.239 0.754 0.296
O20 O 0.761 0.246 0.704
O21 O 0.728 0.245 0.368
O22 O 0.272 0.755 0.632
O23 O 0.228 0.255 0.132
O24 O 0.772 0.745 0.868
O25 O 0.771 0.561 0.019
O26 O 0.229 0.439 0.981
O27 O 0.271 0.939 0.481
O28 O 0.729 0.061 0.519
O29 O 0.235 0.426 0.310
O30 O 0.765 0.574 0.690
O31 O 0.735 0.074 0.190
O32 O 0.265 0.926 0.810
O33 O 0.856 0.561 0.346
O34 O 0.144 0.439 0.654
O35 O 0.356 0.939 0.154
O36 O 0.644 0.061 0.846
O37 O 0.731 0.934 0.024
O38 O 0.269 0.066 0.976
O39 O 0.231 0.566 0.476
O40 O 0.769 0.434 0.524
O41 O 0.523 0.522 0.390
O42 O 0.477 0.478 0.610
O43 O 0.023 0.978 0.110
O44 O 0.977 0.022 0.890
O45 O 0.854 0.942 0.358
O46 O 0.146 0.058 0.642
O47 O 0.354 0.558 0.142
O48 O 0.646 0.442 0.858
# Fermi-level density of states: 0.00 states/eV per cell
# polymorph energy (0 for the lowest one): 0.000 eV/atom
# total magnetization: 0.000 μB/cell

# KBaPt PBE-GGA optimized geometry
data_KBaPt
_cell_length_a 4.634
_cell_length_b 4.634
_cell_length_c 7.698
_cell_angle_alpha 90.00
_cell_angle_beta 90.00
_cell_angle_gamma 120.00
_symmetry_space_group_name_H-M 'P 1'
_symmetry_Int_Tables_number 1
loop_
_symmetry_equiv_pos_as_xyz
'x,y,z'
loop_
_atom_site_label
_atom_site_type_symbol
_atom_site_fract_x
_atom_site_fract_y
_atom_site_fract_z
Ba1 Ba 0.000 0.000 0.878
K1 K 0.333 0.667 0.433
Pt1 Pt 0.667 0.333 0.689
# Fermi-level density of states: 2.40 states/eV per cell
# total magnetization: 0.003 μB/cell
# DFT formation energy: -288.9 meV/atom

# PmHo2Tl4 PBE-GGA optimized geometry
data_PmHo2Tl4
_cell_length_a 4.894
_cell_length_b 4.894
_cell_length_c 10.548
_cell_angle_alpha 76.59
_cell_angle_beta 76.59
_cell_angle_gamma 60.00
_symmetry_space_group_name_H-M 'P 1'
_symmetry_Int_Tables_number 1
loop_
_symmetry_equiv_pos_as_xyz
'x,y,z'
loop_
_atom_site_label
_atom_site_type_symbol
_atom_site_fract_x
_atom_site_fract_y
_atom_site_fract_z
Pm1 Pm 0.000 0.000 0.000
Ho1 Ho 0.130 0.130 0.610
Ho2 Ho 0.870 0.870 0.390
Tl1 Tl 0.385 0.385 0.846
Tl2 Tl 0.242 0.242 0.275
Tl3 Tl 0.758 0.758 0.725
Tl4 Tl 0.615 0.615 0.154
# Fermi-level density of states: 4.86 states/eV per cell
# polymorph energy (0 for the lowest one): 0.111 eV/atom
# total magnetization: 0.001 μB/cell
# DFT formation energy: -108.3 meV/atom

# PmNd2NbN4 PBE-GGA optimized geometry
data_PmNd2NbN4
_cell_length_a 3.480
_cell_length_b 6.332
_cell_length_c 12.584
_cell_angle_alpha 90.00
_cell_angle_beta 90.00
_cell_angle_gamma 105.95
_symmetry_space_group_name_H-M 'P 1'
_symmetry_Int_Tables_number 1
loop_
_symmetry_equiv_pos_as_xyz
'x,y,z'
loop_
_atom_site_label
_atom_site_type_symbol
_atom_site_fract_x
_atom_site_fract_y
_atom_site_fract_z
Pm1 Pm 0.102 0.203 0.750
Pm2 Pm 0.898 0.797 0.250
Nd1 Nd 0.369 0.738 0.535
Nd2 Nd 0.631 0.262 0.035
Nd3 Nd 0.631 0.262 0.465
Nd4 Nd 0.369 0.738 0.965
Nb1 Nb 0.839 0.678 0.750
Nb2 Nb 0.161 0.322 0.250
N1 N 0.266 0.531 0.132
N2 N 0.734 0.469 0.632
N3 N 0.734 0.469 0.868
N4 N 0.266 0.531 0.368
N5 N 0.000 0.000 0.500
N6 N 0.000 0.000 0.000
N7 N 0.444 0.889 0.750
N8 N 0.556 0.111 0.250
# Fermi-level density of states: 5.67 states/eV per cell
# total magnetization: 0.000 μB/cell
# total DFT energy (no corrections): -8.2947 eV per atom

# Pm6Zn5Tc PBE-GGA optimized geometry
data_Pm6Zn5Tc
_cell_length_a 5.140
_cell_length_b 7.309
_cell_length_c 8.112
_cell_angle_alpha 90.00
_cell_angle_beta 71.53
_cell_angle_gamma 90.00
_symmetry_space_group_name_H-M 'P 1'
_symmetry_Int_Tables_number 1
loop_
_symmetry_equiv_pos_as_xyz
'x,y,z'
loop_
_atom_site_label
_atom_site_type_symbol
_atom_site_fract_x
_atom_site_fract_y
_atom_site_fract_z
Zn1 Zn 0.666 0.500 0.667
Zn2 Zn 0.328 0.000 0.343
Zn3 Zn 0.000 0.500 0.000
Zn4 Zn 0.672 0.000 0.657
Zn5 Zn 0.334 0.500 0.333
Tc1 Tc 0.000 0.000 0.000
Pm1 Pm 0.839 0.756 0.321
Pm2 Pm 0.839 0.244 0.321
Pm3 Pm 0.500 0.239 0.000
Pm4 Pm 0.500 0.761 0.000
Pm5 Pm 0.161 0.756 0.679
Pm6 Pm 0.161 0.244 0.679
# Fermi-level density of states: 9.54 states/eV per cell
# total magnetization: 0.000 μB/cell
# DFT formation energy: -247.2 meV/atom